VASP calculation (PBE+U) on Li4Mn3CoO8 after structural relaxation.

Geometry as POSCAR:
```
Li4Mn3CoO8
1.0
5.109 0.000 0.000
0.000 2.965 0.000
-1.846 0.000 9.696
Li Mn Co O
4 3 1 8
Direct
0.238 0.000 0.256
0.240 0.500 0.750
0.760 0.500 0.250
0.762 0.000 0.744
0.000 0.500 0.000
0.500 0.000 0.000
0.500 0.500 0.500
0.000 0.000 0.500
0.138 0.000 0.880
0.147 0.500 0.386
0.361 0.500 0.107
0.397 0.000 0.613
0.603 0.000 0.387
0.639 0.500 0.893
0.853 0.500 0.614
0.862 0.000 0.120
```

Summary:
Final energy = -100.69 eV/cell
Volume = 9.18 A^3/atom
DOS(E_F) = 0.8 states/eV/f.u.